Density functional theory data (PBE-GGA) for a relaxed structure of Nb2CrSnH.

Results
- symmetry = P4/mmm (123)
- V (Å³ per cell) = 72.8
- VASP energy (Ha/atom) = -0.2743

Structure (POSCAR):
```
Nb2CrSnH
1.0
4.114 0.000 0.000
0.000 4.114 0.000
0.000 0.000 4.298
Nb Cr Sn H
2 1 1 1
Direct
0.000 0.500 0.000
0.500 0.000 0.000
0.000 0.000 0.500
0.500 0.500 0.500
0.000 0.000 0.000
```

***

Density functional theory data (PBE-GGA) for a relaxed structure of TaNb2CrH.

Results
- symmetry = P4/mmm (123)
- V (Å³ per cell) = 68.9
- VASP energy (Ha/atom) = -0.3306

Structure (POSCAR):
```
TaNb2CrH
1.0
4.526 0.000 0.000
0.000 4.526 0.000
0.000 0.000 3.364
Ta Nb Cr H
1 2 1 1
Direct
0.000 0.000 0.000
0.000 0.500 0.500
0.500 0.000 0.500
0.500 0.500 0.000
0.500 0.500 0.500
```

***

Density functional theory data (PBE-GGA) for a relaxed structure of Nb2CrTcH.

Results
- symmetry = P4/mmm (123)
- V (Å³ per cell) = 65.0
- VASP energy (Ha/atom) = -0.3236
- E above lowest polymorph (meV per atom) = 0.0

Structure (POSCAR):
```
Nb2CrTcH
1.0
4.461 0.000 0.000
0.000 4.461 0.000
0.000 0.000 3.267
Nb Cr Tc H
2 1 1 1
Direct
0.000 0.500 0.000
0.500 0.000 0.000
0.000 0.000 0.500
0.500 0.500 0.500
0.000 0.000 0.000
```

***

Density functional theory data (PBE-GGA) for a relaxed structure of Nb2CrTcH.

Results
- symmetry = P4/mmm (123)
- V (Å³ per cell) = 66.5
- VASP energy (Ha/atom) = -0.3188
- E above lowest polymorph (meV per atom) = 131.5

Structure (POSCAR):
```
Nb2CrTcH
1.0
4.421 0.000 0.000
0.000 4.421 0.000
0.000 0.000 3.400
Nb Cr Tc H
2 1 1 1
Direct
0.000 0.500 0.000
0.500 0.000 0.000
0.000 0.000 0.500
0.500 0.500 0.500
0.500 0.500 0.000
```

***

- Among the records above, which one has the highest V?
  Nb2CrSnH

***

- Look up the VASP energy of the second one.
  -0.3306 Ha/atom

***

- What is the VASP energy in the first record?
  -0.2743 Ha/atom

***

- Which formula does entry 2 have?
  TaNb2CrH